Density functional theory data (PBE) for a relaxed InAgBRh2 crystal.

Results
Total moment: 0.00 μB/cell
Crystal system: tetragonal
D(E_F): 0.31 states/eV/atom
Formation enthalpy at 0 K: -3.59 kcal/mol of atoms

Cell: 4.1635 4.1635 4.3549 Å, 90.00 90.00 90.00°
With the nearest neighbours (Å) after each atom.
Fractional coordinates of all 5 atoms:
B (0.0000, 0.0000, 0.0000)  4 Rh 2.08, 2 Ag 2.18
Rh (0.0000, 0.5000, 0.0000)  2 B 2.08
Rh (0.5000, 0.0000, 0.0000)  2 B 2.08
In (0.5000, 0.5000, 0.5000)  4 Ag 2.94, 8 Rh 3.01
Ag (0.0000, 0.0000, 0.5000)  2 B 2.18